Computed, not measured: BeReTc2 after structural relaxation at the PBE level of DFT.

Unit cell a=6.0045 b=6.0045 c=6.0045 alpha=90.00 beta=90.00 gamma=90.00
Positions (direct):
Be1 0.0000 0.0000 0.0000
Be2 0.0000 0.5000 0.5000
Be3 0.5000 0.0000 0.5000
Be4 0.5000 0.5000 0.0000
Re1 0.2500 0.2500 0.7500
Re2 0.2500 0.7500 0.2500
Re3 0.7500 0.2500 0.2500
Re4 0.7500 0.7500 0.7500
Tc1 0.0000 0.0000 0.5000
Tc2 0.0000 0.5000 0.0000
Tc3 0.2500 0.2500 0.2500
Tc4 0.2500 0.7500 0.7500
Tc5 0.5000 0.0000 0.0000
Tc6 0.5000 0.5000 0.5000
Tc7 0.7500 0.2500 0.7500
Tc8 0.7500 0.7500 0.2500

DOS at the Fermi energy = 0.707 states/eV per atom
Crystal system = cubic
E_form = 0.15 eV/atom
DFT total energy = -9.075 eV/atom


Computed, not measured: NaNpGe2O8 after structural relaxation at the PBE level of DFT.

Unit cell a=5.8849 b=5.8849 c=5.8849 alpha=106.88 beta=106.88 gamma=114.78
Positions (direct):
Na1 0.0000 0.0000 0.0000
Np1 0.2500 0.7500 0.5000
Ge1 0.5000 0.5000 0.0000
Ge2 0.7500 0.2500 0.5000
O1 0.3321 0.1291 0.7970
O2 0.3321 0.5351 0.2030
O3 0.3735 0.0506 0.3229
O4 0.4649 0.6679 0.7970
O5 0.7277 0.0506 0.6771
O6 0.8709 0.6679 0.2030
O7 0.9494 0.2723 0.3229
O8 0.9494 0.6265 0.6771

Uncorrected formation energy = -1757.1 meV/atom
Crystal system = tetragonal
DFT total energy = -7.020 eV/atom


Computed, not measured: RbSr2AlF after structural relaxation at the PBE level of DFT.

Unit cell a=6.2396 b=6.2396 c=6.8743 alpha=90.00 beta=90.00 gamma=90.00
Positions (direct):
Rb1 0.0000 0.0000 0.0000
Sr1 0.0000 0.5000 0.5000
Sr2 0.5000 0.0000 0.5000
Al1 0.0000 0.0000 0.5000
F1 0.5000 0.5000 0.0000

Uncorrected formation energy = -312.9 meV/atom
DOS at the Fermi energy = 0.866 states/eV per atom
Crystal system = tetragonal
DFT total energy = -2.302 eV/atom


Computed, not measured: Nb3IrF after structural relaxation at the PBE level of DFT.

Unit cell a=4.2709 b=4.2709 c=4.2709 alpha=90.00 beta=90.00 gamma=90.00
Positions (direct):
Nb1 0.0000 0.0000 0.5000
Nb2 0.0000 0.5000 0.0000
Nb3 0.5000 0.0000 0.0000
Ir1 0.5000 0.5000 0.5000
F1 0.0000 0.0000 0.0000

Uncorrected formation energy = -106.8 meV/atom
DOS at the Fermi energy = 0.911 states/eV per atom
Crystal system = cubic
DFT total energy = -8.295 eV/atom


Computed, not measured: CuPtRhS4 after structural relaxation at the PBE level of DFT.

Unit cell a=7.0512 b=7.0512 c=7.0512 alpha=120.36 beta=119.64 gamma=90.00
Positions (direct):
Cu1 0.3802 0.1302 0.2500
Cu2 0.6198 0.8698 0.7500
Pt1 0.0000 0.5000 0.5000
Pt2 0.5000 0.5000 0.0000
Rh1 0.0000 0.0000 0.5000
Rh2 0.0000 0.5000 0.0000
S1 0.2188 0.7410 0.4778
S2 0.2368 0.2590 0.9778
S3 0.2386 0.2571 0.5185
S4 0.2386 0.7201 0.9815
S5 0.7614 0.2799 0.0185
S6 0.7614 0.7429 0.4815
S7 0.7632 0.7410 0.0222
S8 0.7812 0.2590 0.5222

Uncorrected formation energy = -420.5 meV/atom
DOS at the Fermi energy = 0.019 states/eV per atom
Crystal system = orthorhombic
DFT total energy = -5.277 eV/atom


Computed, not measured: U2GaRh9 after structural relaxation at the PBE level of DFT.

Unit cell a=3.9945 b=3.9945 c=11.7378 alpha=90.00 beta=90.00 gamma=90.00
Positions (direct):
U1 0.0000 0.0000 0.1744
U2 0.0000 0.0000 0.8256
Ga1 0.0000 0.0000 0.5000
Rh1 0.0000 0.5000 0.0000
Rh2 0.0000 0.5000 0.3397
Rh3 0.0000 0.5000 0.6603
Rh4 0.5000 0.0000 0.0000
Rh5 0.5000 0.0000 0.3397
Rh6 0.5000 0.0000 0.6603
Rh7 0.5000 0.5000 0.1703
Rh8 0.5000 0.5000 0.5000
Rh9 0.5000 0.5000 0.8297

DOS at the Fermi energy = 0.935 states/eV per atom
Crystal system = tetragonal
E_form = -0.55 eV/atom
DFT total energy = -8.199 eV/atom


Computed, not measured: LaTb4Er7 after structural relaxation at the PBE level of DFT.

Unit cell a=6.7142 b=6.7142 c=12.5780 alpha=114.86 beta=114.86 gamma=51.75
Positions (direct):
La1 0.0000 0.0000 0.0000
Tb1 0.2525 0.2525 0.6843
Tb2 0.3704 0.3704 0.2252
Tb3 0.6296 0.6296 0.7748
Tb4 0.7475 0.7475 0.3157
Er1 0.0569 0.0569 0.3354
Er2 0.2108 0.2108 0.9223
Er3 0.3645 0.3645 0.4949
Er4 0.5000 0.5000 0.0000
Er5 0.6355 0.6355 0.5051
Er6 0.7892 0.7892 0.0777
Er7 0.9431 0.9431 0.6646

DOS at the Fermi energy = 1.741 states/eV per atom
Crystal system = monoclinic
E_form = 0.27 eV/atom
DFT total energy = -4.344 eV/atom


Computed, not measured: TePbAu after structural relaxation at the PBE level of DFT.

Unit cell a=4.3896 b=4.3896 c=5.1160 alpha=90.00 beta=90.00 gamma=120.00
Positions (direct):
Te1 0.0000 0.0000 0.0000
Pb1 0.3333 0.6667 0.5489
Au1 0.6667 0.3333 0.2483

Uncorrected formation energy = -159.5 meV/atom
DOS at the Fermi energy = 0.672 states/eV per atom
Crystal system = trigonal
DFT total energy = -3.535 eV/atom